# 1
BaSiNi2 (PBE-GGA, optimized geometry); energy relative to the elements, uncorrected = -0.356 eV per atom
1.0
3.528 -2.025 0.000
3.528 2.025 0.000
-1.662 0.000 5.795
Ba Si Ni
1 1 2
Cartesian
0.000 0.000 0.000
4.700 0.000 2.602
0.021 0.000 3.153
2.365 0.000 2.510

=====

# 2
SrAc2Zn3Pt4 (PBE-GGA, optimized geometry); energy of formation from the pure elements = -0.741 eV per atom
1.0
4.414 0.000 0.000
0.000 4.414 0.000
0.000 0.000 11.726
Sr Ac Zn Pt
1 2 3 4
Cartesian
0.000 0.000 0.000
0.000 2.207 8.430
2.207 0.000 3.295
0.000 2.207 4.553
2.207 0.000 7.172
2.207 2.207 0.000
0.000 0.000 5.863
0.000 2.207 2.002
2.207 0.000 9.723
2.207 2.207 5.863

=====

# 3
LiTaNi2 (PBE-GGA, optimized geometry); energy of formation from the pure elements = 0.135 eV per atom
1.0
3.225 0.000 0.000
0.000 3.225 0.000
0.000 0.000 5.122
Li Ta Ni
1 1 2
Cartesian
0.000 0.000 0.000
1.613 1.613 3.479
0.000 0.000 2.398
1.613 1.613 0.952

=====

# 4
PaSe2I (PBE-GGA, optimized geometry); ΔE to the lowest computed polymorph = 2.840 kcal/mol of atoms; energy relative to the elements, uncorrected = -1.046 eV per atom
1.0
5.193 -1.951 0.000
5.193 1.951 0.000
-0.325 0.000 8.263
Pa Se I
1 2 1
Cartesian
0.000 0.000 0.000
3.147 0.000 0.114
5.712 0.000 6.539
5.997 0.000 2.337

=====

# 5
Ta2TiTlB (PBE-GGA, optimized geometry); energy of formation from the pure elements = 2.168 eV per atom
1.0
4.712 0.000 0.000
0.000 4.712 0.000
0.000 0.000 5.227
Ta Ti Tl B
2 1 1 1
Cartesian
0.000 2.356 0.000
2.356 0.000 0.000
0.000 0.000 0.000
0.000 0.000 2.614
2.356 2.356 2.614

=====

# 6
Rb2NaNpTe4 (PBE-GGA, optimized geometry); energy relative to the elements, uncorrected = -0.809 eV per atom
1.0
8.115 0.000 0.000
0.000 4.636 0.000
-2.668 0.000 8.372
Rb Na Np Te
2 1 1 4
Cartesian
0.000 0.000 0.000
4.057 2.318 0.000
-1.334 2.318 4.186
2.723 0.000 4.186
0.270 0.000 5.818
1.535 2.318 2.551
3.912 2.318 5.821
5.177 0.000 2.554

=====

# 7
Tl6CdIn (PBE-GGA, optimized geometry); ΔE to the lowest computed polymorph = 0.000 kcal/mol of atoms; energy of formation from the pure elements = 0.041 eV per atom
1.0
5.655 3.265 2.183
-5.655 3.265 2.183
0.000 -6.530 2.183
Tl Cd In
6 1 1
Cartesian
0.000 -3.232 2.721
-2.799 1.616 2.721
-2.799 -1.616 3.829
2.799 1.616 2.721
2.799 -1.616 3.829
0.000 3.232 3.829
0.000 0.000 3.275
0.000 0.000 0.000

=====

# 8
TiBe2Si (PBE-GGA, optimized geometry); energy relative to the elements, uncorrected = 0.297 eV per atom
1.0
-1.882 1.882 7.714
1.882 -1.882 7.714
1.882 1.882 -7.714
Ti Be Si
2 4 2
Cartesian
0.000 0.000 0.000
0.000 1.882 3.857
0.941 -0.353 5.786
1.530 0.941 1.929
0.941 2.235 -1.929
0.353 0.941 9.643
1.882 0.000 3.857
0.000 0.000 7.714